Record 1
Density functional theory data (PBE) for a relaxed La4NiAu3 crystal.

Its formation energy is -0.685 eV per atom. As for the mass density: 9.3 Mg/m³. Its final energy is -5.10 eV per atom.

The structure belongs to space group Pmm2 (No. 25); the cell edges are 3.979, 4.787 and 11.320 Å and the angles 90.00°, 90.00° and 90.00°. The inequivalent atoms are La at (0.000, 0.000, 0.000), La at (0.000, 0.500, 0.256), La at (0.500, 0.000, 0.472), La at (0.500, 0.500, 0.760), Ni at (0.500, 0.000, 0.206), Au at (0.000, 0.000, 0.709), Au at (0.000, 0.500, 0.535) and Au at (0.500, 0.500, 0.042).

---

Record 2
Density functional theory data (PBE) for a relaxed LiZnPt2 crystal.

Its formation energy is -0.498 eV per atom. As for the mass density: 13.6 Mg/m³. Its final energy is -4.32 eV per atom.

The structure belongs to space group Pm (No. 6); the cell edges are 2.731, 4.182 and 5.126 Å and the angles 90.00°, 105.13° and 90.00°. The inequivalent atoms are Li at (0.000, 0.000, 0.000), Zn at (0.862, 0.500, 0.718), Pt at (0.259, 0.000, 0.512) and Pt at (0.594, 0.500, 0.187).

---

Record 3
Density functional theory data (PBE) for a relaxed CsAuF2 crystal.

The energy above the most stable polymorph in this dataset comes out at 1.21 eV/f.u. As for the mass density: 6.0 Mg/m³. Its final energy is -3.39 eV per atom.

The structure belongs to space group I-42d (No. 122); the cell edges are 5.325, 5.325 and 14.265 Å and the angles 90.00°, 90.00° and 90.00°. The inequivalent atoms are Cs at (0.000, 0.000, 0.000), Au at (0.000, 0.000, 0.500) and F at (0.142, 0.250, 0.625).

---

Record 4
Density functional theory data (PBE) for a relaxed Nd3Y4Er5 crystal.

The energy above the most stable polymorph in this dataset comes out at 2.55 eV/f.u. Its formation energy is 0.232 eV per atom. As for the mass density: 6.8 Mg/m³. Its final energy is -5.02 eV per atom.

The structure belongs to space group C2/m (No. 12); the cell edges are 15.954, 5.936 and 9.314 Å and the angles 90.00°, 116.34° and 90.00°. The inequivalent atoms are Nd at (0.000, 0.000, 0.000), Nd at (0.210, 0.500, 0.235), Y at (0.082, 0.500, 0.441), Y at (0.208, 0.500, 0.878), Er at (0.000, 0.500, 0.000), Er at (0.073, 0.000, 0.696) and Er at (0.171, 0.000, 0.385).